The following is a GGA-PBE calculation of a relaxed ZrFe2P crystal, from the Alexandria database.

Cell and atoms, written as POSCAR:
```
ZrFe2P
1.0
3.719 0.000 0.000
0.000 3.719 0.000
0.000 0.000 4.186
Zr Fe P
1 2 1
Direct
0.000 0.000 0.000 Zr
0.000 0.500 0.500 Fe
0.500 0.000 0.500 Fe
0.500 0.500 0.000 P
```

Computed properties:
Crystal system: tetragonal

The following is a GGA-PBE calculation of a relaxed BeZnRe crystal, from the Alexandria database.

Cell and atoms, written as POSCAR:
```
BeZnRe
1.0
5.420 0.000 0.000
0.000 5.420 0.000
0.000 0.000 5.420
Be Zn Re
4 4 4
Direct
0.000 0.000 0.000 Be
0.000 0.500 0.500 Be
0.500 0.000 0.500 Be
0.500 0.500 0.000 Be
0.250 0.250 0.250 Zn
0.250 0.750 0.750 Zn
0.750 0.250 0.750 Zn
0.750 0.750 0.250 Zn
0.250 0.250 0.750 Re
0.250 0.750 0.250 Re
0.750 0.250 0.250 Re
0.750 0.750 0.750 Re
```

Computed properties:
Crystal system: cubic
Relative energy among the computed polymorphs (eV/f.u.): 1.174

The following is a GGA-PBE calculation of a relaxed FeNiRu2 crystal, from the Alexandria database.

Cell and atoms, written as POSCAR:
```
FeNiRu2
1.0
3.742 0.000 0.000
0.000 3.742 0.000
0.000 0.000 7.204
Fe Ni Ru
2 2 4
Direct
0.000 0.000 0.000 Fe
0.500 0.500 0.500 Fe
0.000 0.000 0.500 Ni
0.500 0.500 0.000 Ni
0.000 0.500 0.250 Ru
0.000 0.500 0.750 Ru
0.500 0.000 0.250 Ru
0.500 0.000 0.750 Ru
```

Computed properties:
Crystal system: tetragonal

| no. | E_tot (eV per atom) | ΔH_f (0 K) (eV per formula unit) |
| --- | --- | --- |
| 1 | -8.04 | -1.30 |
| 2 | -5.23 | 1.75 |
| 3 | -8.07 | 0.52 |